{"formula": "Tb9Sm2Dy", "functional": "PBE", "state": "optimized geometry", "e_form_ev_per_atom": 0.0562, "spacegroup": "P6/mmm (191)", "n_ef_per_ev_atom": 1.45, "volume_a3_per_atom": 32.15, "total_magnetization_mub_per_cell": 0.000, "de_polymorph_mev_per_atom": 37, "lattice": [[-1.4057, -1.8697, -2.6020], [-3.7055, -7.6047, 7.4663], [-6.5001, 8.7867, -2.8020]], "species": ["Tb", "Dy", "Tb", "Tb", "Tb", "Sm", "Sm", "Tb", "Tb", "Tb", "Tb", "Tb"], "frac_coords": [[0.5000, 0.6520, 0.8260], [0.0000, 0.0000, 0.0000], [0.5000, 0.3480, 0.1740], [0.5000, 0.8260, 0.1740], [0.0000, 0.0000, 0.5000], [0.0000, 0.3333, 0.6667], [0.0000, 0.6667, 0.3333], [0.5000, 0.1740, 0.3480], [0.5000, 0.8260, 0.6520], [0.5000, 0.1740, 0.8260], [0.0000, 0.5000, 0.5000], [0.0000, 0.5000, 0.0000]]}